# NaLiPmPb (PBE, relaxed)
# Energy, eV per atom: -3.14
# E_form, eV/atom: -0.21
# Space group: F-43m (216)
# D(E_F), states/eV/cell: 2.4
data_NaLiPmPb
_cell_length_a 5.344
_cell_length_b 5.344
_cell_length_c 5.344
_cell_angle_alpha 60.00
_cell_angle_beta 60.00
_cell_angle_gamma 60.00
_space_group_name_H-M_alt 'P 1'
_space_group_IT_number 1
loop_
_space_group_symop_operation_xyz
'x,y,z'
loop_
_atom_site_label
_atom_site_type_symbol
_atom_site_fract_x
_atom_site_fract_y
_atom_site_fract_z
_atom_site_occupancy
Na1 Na 0.500 0.500 0.500 1
Li1 Li 0.250 0.250 0.250 1
Pb1 Pb 0.750 0.750 0.750 1
Pm1 Pm 0.000 0.000 0.000 1